A plane-wave DFT calculation with GGA-PBE was carried out for crystalline NdZnGa4 at its relaxed geometry.

```
NdZnGa4
1.0
0.0000 3.9331 3.9331
3.9331 0.0000 3.9331
3.9331 3.9331 0.0000
Nd Zn Ga
1 1 4
Direct
0.0000 0.0000 0.0000
0.2500 0.2500 0.2500
0.1252 0.6249 0.6249
0.6249 0.1252 0.6249
0.6249 0.6249 0.1252
0.6249 0.6249 0.6249
```

energy relative to the elements	-195	meV/atom
density of states at the Fermi level	0.70	states/eV per atom
space-group type	F-43m